Entry from the Alexandria database: TcAuCl3 after structural relaxation (GGA-PBE).

magnetic moment = 2.826 Bohr magnetons per cell
polymorph energy (0 for the lowest one) = 0 meV per atom
total DFT energy (no corrections) = -3.6523 eV per atom
DOS(E_F) = 3.6 states/eV/cell
theoretical density = 5.76 g/cm³
formation energy from raw total energies = 184 meV/atom
space-group type = Pm-3m

Cell: 4.8722 4.8722 4.8722 Å, 90.00 90.00 90.00°
Fractional coordinates of all 5 atoms:
Tc: 0.0000 0.0000 0.0000
Au: 0.5000 0.5000 0.5000
Cl: 0.0000 0.0000 0.5000
Cl: 0.0000 0.5000 0.0000
Cl: 0.5000 0.0000 0.0000